No. 1
Here is crystalline CoMo2IrSe at its relaxed geometry from the Alexandria database. Energies are from PBE.

Cell: 4.3947 4.3947 4.6453 Å, 90.00 90.00 90.00°
Space group P4/mmm (No. 123)
Asymmetric unit:
1 Co 0.0000 0.0000 0.0000 x1
2 Mo 0.0000 0.5000 0.0000 x2
3 Ir 0.0000 0.0000 0.5000 x1
4 Se 0.5000 0.5000 0.5000 x1

## Properties
The formation energy from raw total energies is 1.27 eV/atom. The calculation puts the total energy at -34.8 eV per cell.

***

No. 2
Here is crystalline CoIrN3 at its relaxed geometry from the Alexandria database. Energies are from PBE.

Cell: 3.8320 3.8320 3.8320 Å, 90.00 90.00 90.00°
Space group Pm-3m (No. 221)
Asymmetric unit:
1 Co 0.0000 0.0000 0.0000 x1
2 Ir 0.5000 0.5000 0.5000 x1
3 N 0.0000 0.5000 0.5000 x3

## Properties
The formation energy from raw total energies is 1.72 eV/atom. The calculation puts the total energy at -32.3 eV per cell.

***

No. 3
Here is crystalline CoIrN3 at its relaxed geometry from the Alexandria database. Energies are from PBE.

Cell: 3.6246 3.6246 3.6246 Å, 90.00 90.00 90.00°
Space group Pm-3m (No. 221)
Asymmetric unit:
1 Co 0.0000 0.0000 0.0000 x1
2 Ir 0.5000 0.5000 0.5000 x1
3 N 0.0000 0.0000 0.5000 x3

## Properties
The formation energy from raw total energies is 1.76 eV/atom. The calculation puts the total energy at -32.1 eV per cell.